Entry 1:
Here is a relaxed Ti2HS4 crystal from the Alexandria database. Energies are from PBE-GGA.

Cell and atoms, written as POSCAR:
```
Ti2HS4
1.0
6.963 0.254 -0.200
-0.256 7.076 0.121
-3.322 -3.748 5.008
S Ti H
8 4 2
Cartesian
5.160 0.168 1.128
5.078 3.707 1.136
1.774 0.044 1.208
0.097 -1.771 3.748
1.691 3.585 1.216
3.433 1.775 3.604
-0.026 1.647 3.807
3.557 -1.644 3.546
3.425 1.877 1.171
-1.717 -0.125 3.776
3.298 5.414 1.233
1.765 0.001 3.676
0.641 0.017 0.429
-0.755 3.472 2.120
```

Results
density of states at the Fermi level	3.5	states/eV/f.u.
calculated total energy	-85.732	eV/cell
ρ	3.0	g/cm³

Entry 2:
Here is a relaxed ErTePd crystal from the Alexandria database. Energies are from PBE-GGA.

Cell and atoms, written as POSCAR:
```
ErTePd
1.0
4.167 -0.134 0.107
-1.934 5.293 0.723
-0.158 0.569 6.901
Pd Er Te
2 2 2
Cartesian
-0.058 1.471 4.124
2.132 4.257 3.606
0.002 4.556 5.652
2.072 1.171 2.079
2.008 2.190 5.862
0.067 3.537 1.869
```

Results
calculated total energy	-32.103	eV/cell
ρ	9.0	g/cm³

Entry 3:
Here is a relaxed PaTiMnAl crystal from the Alexandria database. Energies are from PBE-GGA.

Cell and atoms, written as POSCAR:
```
PaTiMnAl
1.0
4.529 0.000 0.000
2.265 3.922 0.000
2.265 1.307 3.698
Pa Ti Al Mn
1 1 1 1
Cartesian
4.529 2.615 1.849
2.265 1.307 0.924
0.000 0.000 0.000
6.794 3.922 2.773
```

Results
density of states at the Fermi level	4.8	states/eV/f.u.
calculated total energy	-30.983	eV/cell
ρ	9.1	g/cm³
formation energy	-0.170	eV/atom

Entry 4:
Here is a relaxed LiErSb3 crystal from the Alexandria database. Energies are from PBE-GGA.

Cell and atoms, written as POSCAR:
```
LiErSb3
1.0
6.260 0.000 0.000
0.000 6.007 0.000
0.000 0.000 13.380
Er Sb Li
4 12 4
Cartesian
4.695 2.932 9.117
1.565 0.072 9.117
4.695 5.936 4.263
1.565 3.075 4.263
3.130 4.505 6.750
0.000 4.505 6.750
3.130 1.502 6.630
4.695 1.764 12.267
1.565 4.243 1.113
4.695 2.989 3.429
1.565 0.014 3.429
1.565 1.240 12.267
1.565 3.018 9.951
0.000 1.502 6.630
4.695 5.993 9.951
4.695 4.767 1.113
0.000 1.502 1.450
3.130 4.505 11.930
0.000 4.505 11.930
3.130 1.502 1.450
```

Results
density of states at the Fermi level	1.7	states/eV/f.u.
calculated total energy	-87.095	eV/cell
ρ	7.1	g/cm³